(1)
DFT (PBE-GGA) results for NaThBr5 after structural relaxation.

Results
**Formation energy from raw total energies**: -1.641 eV/atom
**M_tot**: 0.00 μB per cell
**Total energy**: -4.0848 eV per atom

Lattice parameters (Å, degrees): 7.6626 11.5460 14.5493 90.00 90.00 112.12
With the nearest neighbours (Å) after each atom.
Fractional coordinates of all 28 atoms:
Br (0.5114, 0.6138, 0.8144)  2 Th 2.95-2.96
Na (0.2882, 0.8016, 0.0078)  5 Br 2.93-3.07
Th (0.7686, 0.8587, 0.7437)  6 Br 2.78-2.96
Br (0.9564, 0.1570, 0.1369)  1 Th 2.79, 1 Na 2.97
Th (0.2686, 0.3587, 0.7563)  6 Br 2.78-2.96
Br (0.6175, 0.9634, 0.8866)  1 Th 2.86, 2 Na 2.96-3.07
Br (0.4886, 0.3862, 0.1856)  2 Th 2.95-2.96
Br (0.0436, 0.8430, 0.8631)  1 Th 2.79, 1 Na 2.97
Na (0.7118, 0.1984, 0.9922)  5 Br 2.93-3.07
Br (0.1175, 0.4634, 0.6134)  1 Th 2.86, 2 Na 2.96-3.07
Br (0.3825, 0.0366, 0.1134)  1 Th 2.86, 2 Na 2.96-3.07
Br (0.5436, 0.3430, 0.6369)  1 Th 2.79, 1 Na 2.97
Br (0.4564, 0.6570, 0.3631)  1 Th 2.79, 1 Na 2.97
Br (0.9886, 0.8862, 0.3144)  2 Th 2.95-2.96
Br (0.4019, 0.2573, 0.9007)  1 Th 2.78, 1 Na 3.01
Br (0.0088, 0.6190, 0.1261)  1 Th 2.82, 1 Na 2.93
Th (0.2314, 0.1413, 0.2563)  6 Br 2.78-2.96
Br (0.8825, 0.5366, 0.3866)  1 Th 2.86, 2 Na 2.96-3.07
Na (0.7882, 0.3016, 0.4922)  5 Br 2.93-3.07
Br (0.9019, 0.7573, 0.5993)  1 Th 2.78, 1 Na 3.01
Br (0.0981, 0.2427, 0.4007)  1 Th 2.78, 1 Na 3.01
Br (0.0114, 0.1138, 0.6856)  2 Th 2.95-2.96
Na (0.2118, 0.6984, 0.5078)  5 Br 2.93-3.07
Br (0.4912, 0.8810, 0.6261)  1 Th 2.82, 1 Na 2.93
Th (0.7314, 0.6413, 0.2437)  6 Br 2.78-2.96
Br (0.5088, 0.1190, 0.3739)  1 Th 2.82, 1 Na 2.93
Br (0.9912, 0.3810, 0.8739)  1 Th 2.82, 1 Na 2.93
Br (0.5981, 0.7427, 0.0993)  1 Th 2.78, 1 Na 3.01

---

(2)
DFT (PBE-GGA) results for TbEuErHg after structural relaxation.

Results
**M_tot**: 7.48 μB per cell
**Formation enthalpy at 0 K**: -12 kJ/mol of formula units
**Total energy**: -4.9738 eV per atom

Lattice parameters (Å, degrees): 5.4441 5.4441 5.4441 60.00 60.00 60.00
With the nearest neighbours (Å) after each atom.
Fractional coordinates of all 4 atoms:
Hg (0.0000, 0.0000, 0.0000)  4 Er 3.33, 4 Tb 3.33
Tb (0.7500, 0.7500, 0.7500)  4 Eu 3.33, 4 Hg 3.33
Er (0.2500, 0.2500, 0.2500)  4 Eu 3.33, 4 Hg 3.33
Eu (0.5000, 0.5000, 0.5000)  4 Tb 3.33, 4 Er 3.33

---

(3)
DFT (PBE-GGA) results for Tb3Dy4ErSe8 after structural relaxation.

Results
**Formation energy from raw total energies**: -1.746 eV/atom
**M_tot**: 0.00 μB per cell
**Total energy**: -5.7917 eV per atom

Lattice parameters (Å, degrees): 8.1564 8.1581 8.1564 119.99 120.00 90.00
With the nearest neighbours (Å) after each atom.
Fractional coordinates of all 16 atoms:
Se (0.7512, 0.2498, 0.5025)  1 Er 2.87, 3 Dy 2.88-2.90, 2 Tb 2.89
Tb (0.5000, 0.5000, 0.0000)  6 Se 2.89
Tb (0.5000, 0.5000, 0.5000)  6 Se 2.89
Se (0.2493, 0.2479, 0.4987)  3 Dy 2.88, 3 Tb 2.89
Se (0.2485, 0.7499, 0.0013)  1 Er 2.87, 3 Dy 2.88-2.90, 2 Tb 2.89
Dy (0.5000, 0.0000, 0.5000)  6 Se 2.88
Dy (0.5000, 0.0000, 0.0000)  6 Se 2.90
Dy (0.0000, 0.0000, 0.5000)  6 Se 2.88
Se (0.2472, 0.2501, 0.9987)  1 Er 2.87, 3 Dy 2.88-2.90, 2 Tb 2.89
Se (0.7528, 0.7499, 0.0013)  1 Er 2.87, 3 Dy 2.88-2.90, 2 Tb 2.89
Se (0.7515, 0.2501, 0.9987)  1 Er 2.87, 3 Dy 2.88-2.90, 2 Tb 2.89
Er (0.0000, 0.5000, 0.0000)  6 Se 2.87
Se (0.7507, 0.7521, 0.5013)  3 Dy 2.88, 3 Tb 2.89
Se (0.2488, 0.7502, 0.4975)  1 Er 2.87, 3 Dy 2.88-2.90, 2 Tb 2.89
Tb (0.0000, 0.5000, 0.5000)  6 Se 2.89
Dy (0.0000, 0.0000, 0.0000)  6 Se 2.88

---

(4)
DFT (PBE-GGA) results for Zr2Be2Ni after structural relaxation.

Results
**M_tot**: 0.00 μB per cell
**Relative energy among the computed polymorphs**: 0.0 meV/atom
**Formation enthalpy at 0 K**: -133 kJ/mol of formula units
**Total energy**: -6.3416 eV per atom

Lattice parameters (Å, degrees): 3.7939 5.1863 8.2359 86.84 76.68 68.55
With the nearest neighbours (Å) after each atom.
Fractional coordinates of all 10 atoms:
Zr (0.3236, 0.6719, 0.6810)  6 Be 2.66-2.82, 4 Ni 2.75-2.89
Ni (0.6500, 0.0774, 0.6227)  4 Be 2.21-2.33
Be (0.9212, 0.7174, 0.4403)  3 Ni 2.21-2.23, 1 Be 2.33
Zr (0.0851, 0.7265, 0.1033)  6 Be 2.70-2.91
Ni (0.3500, 0.9226, 0.3773)  4 Be 2.21-2.33
Be (0.3794, 0.1242, 0.1171)  1 Be 2.19, 1 Ni 2.33
Be (0.6206, 0.8758, 0.8829)  1 Be 2.19, 1 Ni 2.33
Zr (0.9149, 0.2735, 0.8967)  6 Be 2.70-2.91
Be (0.0788, 0.2826, 0.5597)  3 Ni 2.21-2.23, 1 Be 2.33
Zr (0.6764, 0.3281, 0.3190)  6 Be 2.66-2.82, 4 Ni 2.75-2.89

---

(5)
DFT (PBE-GGA) results for MnCu2Te after structural relaxation.

Results
**Formation energy from raw total energies**: 0.177 eV/atom
**M_tot**: 3.85 μB per cell
**Total energy**: -4.9489 eV per atom

Lattice parameters (Å, degrees): 3.9477 3.9477 4.0537 90.00 90.00 89.95
With the nearest neighbours (Å) after each atom.
Fractional coordinates of all 4 atoms:
Cu (0.5000, 0.5000, 0.0000)  4 Cu 2.79, 4 Te 2.83, 4 Mn 2.83
Te (0.0000, 0.5000, 0.5000)  4 Mn 2.79, 8 Cu 2.83
Cu (0.0000, 0.0000, 0.0000)  4 Cu 2.79, 4 Mn 2.83, 4 Te 2.83
Mn (0.5000, 0.0000, 0.5000)  4 Te 2.79, 8 Cu 2.83

---

(6)
DFT (PBE-GGA) results for TmBiAu2 after structural relaxation.

Results
**M_tot**: 0.00 μB per cell
**Formation enthalpy at 0 K**: -221 kJ/mol of formula units
**Total energy**: -4.2985 eV per atom

Lattice parameters (Å, degrees): 3.5596 3.5596 7.3934 90.00 90.00 90.00
With the nearest neighbours (Å) after each atom.
Fractional coordinates of all 4 atoms:
Tm (0.5000, 0.5000, 0.0000)  8 Au 3.01
Au (0.0000, 0.0000, 0.7770)  4 Tm 3.01, 4 Bi 3.25, 1 Au 3.30
Au (0.0000, 0.0000, 0.2230)  4 Tm 3.01, 4 Bi 3.25, 1 Au 3.30
Bi (0.5000, 0.5000, 0.5000)  8 Au 3.25, 4 Bi 3.56

---

(7)
DFT (PBE-GGA) results for NdHo2V after structural relaxation.

Results
**M_tot**: 3.17 μB per cell
**Relative energy among the computed polymorphs**: 0.0 meV/atom
**Formation enthalpy at 0 K**: 77 kJ/mol of formula units
**Total energy**: -5.5622 eV per atom

Lattice parameters (Å, degrees): 3.5824 3.5824 8.7842 90.00 90.00 90.00
With the nearest neighbours (Å) after each atom.
Fractional coordinates of all 4 atoms:
Nd (0.5000, 0.5000, 0.5000)  4 Nd 3.58, 8 Ho 3.68
Ho (0.0000, 0.0000, 0.1956)  4 V 3.06
V (0.5000, 0.5000, 0.0000)  8 Ho 3.06
Ho (0.0000, 0.0000, 0.8044)  4 V 3.06

---

(8)
DFT (PBE-GGA) results for TmSc3Bi4 after structural relaxation.

Results
**M_tot**: 0.00 μB per cell
**Formation enthalpy at 0 K**: -530 kJ/mol of formula units
**Total energy**: -5.5605 eV per atom

Lattice parameters (Å, degrees): 4.3076 7.4669 7.4669 70.56 90.00 90.00
With the nearest neighbours (Å) after each atom.
Fractional coordinates of all 8 atoms:
Tm (0.5000, 0.5001, 0.9999)  6 Bi 3.09
Bi (0.4999, 0.2463, 0.7462)  5 Sc 3.00-3.05, 1 Tm 3.09
Sc (0.5000, 0.0001, 0.4999)  6 Bi 3.00
Bi (0.5000, 0.7539, 0.2538)  5 Sc 3.00-3.05, 1 Tm 3.09
Sc (0.9999, 0.0001, 0.0000)  6 Bi 3.05
Bi (0.0000, 0.7578, 0.7423)  4 Sc 3.00-3.05, 2 Tm 3.09
Sc (0.0000, 0.5001, 0.5000)  6 Bi 3.05
Bi (0.0000, 0.2425, 0.2576)  4 Sc 3.00-3.05, 2 Tm 3.09

---

(9)
DFT (PBE-GGA) results for ScReOs2 after structural relaxation.

Results
**M_tot**: 0.00 μB per cell
**Formation enthalpy at 0 K**: -19 kJ/mol of formula units
**Total energy**: -10.3603 eV per atom

Lattice parameters (Å, degrees): 2.8640 2.8640 7.7296 90.00 90.00 90.00
With the nearest neighbours (Å) after each atom.
Fractional coordinates of all 4 atoms:
Sc (0.5000, 0.5000, 0.7500)  4 Sc 2.86, 8 Os 2.92
Re (0.5000, 0.5000, 0.2500)  8 Os 2.69, 4 Re 2.86
Os (0.0000, 0.0000, 0.4785)  4 Re 2.69, 4 Os 2.86, 4 Sc 2.92
Os (0.0000, 0.0000, 0.0215)  4 Re 2.69, 4 Os 2.86, 4 Sc 2.92

---

(10)
DFT (PBE-GGA) results for TcW2Cl after structural relaxation.

Results
**Formation energy from raw total energies**: 1.100 eV/atom
**M_tot**: 0.00 μB per cell
**Relative energy among the computed polymorphs**: 736.6 meV/atom
**Total energy**: -8.4294 eV per atom

Lattice parameters (Å, degrees): 4.4886 4.4886 4.4886 60.00 60.00 60.00
With the nearest neighbours (Å) after each atom.
Fractional coordinates of all 4 atoms:
W (0.0000, 0.0000, 0.0000)  4 W 2.75, 4 Tc 2.75
W (0.2500, 0.2500, 0.2500)  4 Cl 2.75, 4 W 2.75
Tc (0.7500, 0.7500, 0.7500)  4 Cl 2.75, 4 W 2.75
Cl (0.5000, 0.5000, 0.5000)  4 Tc 2.75, 4 W 2.75

---

(11)
DFT (PBE-GGA) results for Sc2TlSi2 after structural relaxation.

Results
**Formation energy from raw total energies**: -0.454 eV/atom
**M_tot**: 0.00 μB per cell
**Relative energy among the computed polymorphs**: 0.0 meV/atom
**Total energy**: -5.6287 eV per atom

Lattice parameters (Å, degrees): 7.1198 7.1198 3.8541 90.00 90.00 90.00
With the nearest neighbours (Å) after each atom.
Fractional coordinates of all 10 atoms:
Si (0.6154, 0.1154, 0.0000)  1 Si 2.32
Si (0.8846, 0.6154, 0.0000)  1 Si 2.32
Si (0.1154, 0.3846, 0.0000)  1 Si 2.32
Si (0.3846, 0.8846, 0.0000)  1 Si 2.32
Sc (0.3208, 0.1792, 0.5000)  6 Si 2.83-2.88
Sc (0.6792, 0.8208, 0.5000)  6 Si 2.83-2.88
Sc (0.1792, 0.6792, 0.5000)  6 Si 2.83-2.88
Tl (0.0000, 0.0000, 0.0000)  4 Si 2.86
Tl (0.5000, 0.5000, 0.0000)  4 Si 2.86
Sc (0.8208, 0.3208, 0.5000)  6 Si 2.83-2.88

---

(12)
DFT (PBE-GGA) results for Rb2PtIN after structural relaxation.

Results
**Formation energy from raw total energies**: -0.582 eV/atom
**M_tot**: 0.42 μB per cell
**Relative energy among the computed polymorphs**: 0.0 meV/atom
**Total energy**: -4.1520 eV per atom

Lattice parameters (Å, degrees): 6.4550 6.4550 3.7669 90.00 90.00 90.00
With the nearest neighbours (Å) after each atom.
Fractional coordinates of all 5 atoms:
Rb (0.0000, 0.5000, 0.0000)  2 N 3.23
N (0.0000, 0.0000, 0.0000)  2 Pt 1.88
Rb (0.5000, 0.0000, 0.0000)  2 N 3.23
Pt (0.0000, 0.0000, 0.5000)  2 N 1.88
I (0.5000, 0.5000, 0.5000)  8 Rb 3.74, 2 I 3.77